Version a
Material: Na2SnTe3
Method: DFT, PBE-GGA
State: relaxed

a = 8.214 Å, b = 8.214 Å, c = 17.307 Å
α = 90.00°, β = 90.00°, γ = 133.81°
Atoms (fractional coordinates):
Na 0.021 0.979 0.850
Na 0.126 0.874 0.461
Na 0.374 0.626 0.961
Na 0.479 0.521 0.350
Na 0.521 0.479 0.650
Na 0.626 0.374 0.039
Na 0.874 0.126 0.539
Na 0.979 0.021 0.150
Sn 0.235 0.765 0.641
Sn 0.265 0.735 0.141
Sn 0.735 0.265 0.859
Sn 0.765 0.235 0.359
Te 0.048 0.952 0.653
Te 0.090 0.410 0.750
Te 0.146 0.854 0.015
Te 0.354 0.646 0.515
Te 0.410 0.090 0.250
Te 0.452 0.548 0.153
Te 0.548 0.452 0.847
Te 0.590 0.910 0.750
Te 0.646 0.354 0.485
Te 0.854 0.146 0.985
Te 0.910 0.590 0.250
Te 0.952 0.048 0.347

## Properties
* SG: Cmce
* D(E_F): 0.3434 states/eV per atom

Version b
Material: Na2SnTe3
Method: DFT, PBE-GGA
State: relaxed

a = 7.900 Å, b = 7.900 Å, c = 8.552 Å
α = 96.65°, β = 96.65°, γ = 54.29°
Atoms (fractional coordinates):
Na 0.057 0.244 0.046
Na 0.244 0.057 0.546
Na 0.756 0.943 0.454
Na 0.943 0.756 0.954
Sn 0.410 0.590 0.250
Sn 0.590 0.410 0.750
Te 0.029 0.971 0.250
Te 0.298 0.424 0.521
Te 0.424 0.298 0.021
Te 0.576 0.702 0.979
Te 0.702 0.576 0.479
Te 0.971 0.029 0.750

## Properties
* SG: C2/c
* D(E_F): 0.0175 states/eV per atom

Stability summary: most stable version b, least stable version a.